Here is a relaxed structure of Ta4NbMo5 from Alexandria. Energies are from GGA-PBE.

Cell: 3.230 3.230 16.145 Å, 90.00 90.00 90.00°
Positions (direct):
Ta1 0.000 0.000 0.100
Ta2 0.000 0.000 0.300
Ta3 0.000 0.000 0.700
Ta4 0.000 0.000 0.900
Nb1 0.000 0.000 0.500
Mo1 0.500 0.500 0.000
Mo2 0.500 0.500 0.200
Mo3 0.500 0.500 0.400
Mo4 0.500 0.500 0.600
Mo5 0.500 0.500 0.800

electronic total energy: -11.351 eV per atom